No. 1
VASP calculation (PBE) on a relaxed structure of TbPm2NpN4.

Its energy relative to the elements, uncorrected is -11.46 eV per formula unit.

```
data_TbPm2NpN4
_chemical_formula_sum 'Tb1 Pm2 Np1 N4'
_space_group_name_H-M_alt 'P 1 2/m 1'
_space_group_IT_number 10
_space_group_name_Hall '-P 2y'
_cell_length_a 6.076
_cell_length_b 3.531
_cell_length_c 6.115
_cell_angle_alpha 90.00
_cell_angle_beta 108.91
_cell_angle_gamma 90.00
loop_
_atom_site_label
_atom_site_type_symbol
_atom_site_fract_x
_atom_site_fract_y
_atom_site_fract_z
_atom_site_occupancy
Tb1 Tb 0.000 0.000 0.000 1
Pm1 Pm 0.000 0.500 0.500 1
Pm2 Pm 0.500 0.000 0.500 1
Np1 Np 0.500 0.500 0.000 1
N1 N 0.261 0.500 0.226 1
N2 N 0.266 0.000 0.773 1
```


No. 2
VASP calculation (PBE) on a relaxed structure of MnRe2Se.

Its energy relative to the elements, uncorrected is 1.58 eV per formula unit.

```
data_MnRe2Se
_chemical_formula_sum 'Mn2 Re4 Se2'
_space_group_name_H-M_alt 'I m m 2'
_space_group_IT_number 44
_space_group_name_Hall 'I 2 -2'
_cell_length_a 2.951
_cell_length_b 4.379
_cell_length_c 8.699
_cell_angle_alpha 90.00
_cell_angle_beta 90.00
_cell_angle_gamma 90.00
loop_
_atom_site_label
_atom_site_type_symbol
_atom_site_fract_x
_atom_site_fract_y
_atom_site_fract_z
_atom_site_occupancy
Mn1 Mn 0.000 0.000 0.000 1
Re1 Re 0.000 0.000 0.543 1
Re2 Re 0.000 0.500 0.771 1
Se1 Se 0.000 0.500 0.282 1
```


No. 3
VASP calculation (PBE) on a relaxed structure of ErTm4Se6.

Its energy relative to the elements, uncorrected is -19.40 eV per formula unit.

```
data_ErTm4Se6
_chemical_formula_sum 'Er4 Tm16 Se24'
_space_group_name_H-M_alt 'C m c m'
_space_group_IT_number 63
_space_group_name_Hall '-C 2c 2'
_cell_length_a 3.935
_cell_length_b 13.202
_cell_length_c 20.490
_cell_angle_alpha 90.00
_cell_angle_beta 90.00
_cell_angle_gamma 90.00
loop_
_atom_site_label
_atom_site_type_symbol
_atom_site_fract_x
_atom_site_fract_y
_atom_site_fract_z
_atom_site_occupancy
Er1 Er 0.000 0.151 0.250 1
Tm1 Tm 0.000 0.090 0.627 1
Tm2 Tm 0.000 0.360 0.538 1
Se1 Se 0.000 0.000 0.000 1
Se2 Se 0.000 0.191 0.750 1
Se3 Se 0.000 0.269 0.090 1
Se4 Se 0.000 0.448 0.666 1
```


No. 4
VASP calculation (PBE) on a relaxed structure of In2AgSe2.

Its energy relative to the elements, uncorrected is -0.56 eV per formula unit. As for the relative energy among the computed polymorphs: 0 meV/atom.

```
data_In2AgSe2
_chemical_formula_sum 'In4 Ag2 Se4'
_space_group_name_H-M_alt 'P 4/m b m'
_space_group_IT_number 127
_space_group_name_Hall '-P 4 2ab'
_cell_length_a 7.892
_cell_length_b 7.892
_cell_length_c 4.134
_cell_angle_alpha 90.00
_cell_angle_beta 90.00
_cell_angle_gamma 90.00
loop_
_atom_site_label
_atom_site_type_symbol
_atom_site_fract_x
_atom_site_fract_y
_atom_site_fract_z
_atom_site_occupancy
In1 In 0.134 0.366 0.000 1
Ag1 Ag 0.000 0.000 0.500 1
Se1 Se 0.192 0.692 0.500 1
```


No. 5
VASP calculation (PBE) on a relaxed structure of Mg3SeN.

Its energy relative to the elements, uncorrected is -3.19 eV per formula unit. As for the relative energy among the computed polymorphs: 0 meV/atom.

```
data_Mg3SeN
_chemical_formula_sum 'Mg3 Se1 N1'
_space_group_name_H-M_alt 'P m -3 m'
_space_group_IT_number 221
_space_group_name_Hall '-P 4 2 3'
_cell_length_a 4.351
_cell_length_b 4.351
_cell_length_c 4.351
_cell_angle_alpha 90.00
_cell_angle_beta 90.00
_cell_angle_gamma 90.00
loop_
_atom_site_label
_atom_site_type_symbol
_atom_site_fract_x
_atom_site_fract_y
_atom_site_fract_z
_atom_site_occupancy
Mg1 Mg 0.000 0.000 0.500 1
Se1 Se 0.500 0.500 0.500 1
N1 N 0.000 0.000 0.000 1
```


No. 6
VASP calculation (PBE) on a relaxed structure of ZrGePbF2.

Its energy relative to the elements, uncorrected is -7.35 eV per formula unit.

```
data_ZrGePbF2
_chemical_formula_sum 'Zr1 Ge1 Pb1 F2'
_space_group_name_H-M_alt 'P 4/m m m'
_space_group_IT_number 123
_space_group_name_Hall '-P 4 2'
_cell_length_a 4.210
_cell_length_b 4.210
_cell_length_c 6.191
_cell_angle_alpha 90.00
_cell_angle_beta 90.00
_cell_angle_gamma 90.00
loop_
_atom_site_label
_atom_site_type_symbol
_atom_site_fract_x
_atom_site_fract_y
_atom_site_fract_z
_atom_site_occupancy
Zr1 Zr 0.000 0.000 0.000 1
Ge1 Ge 0.500 0.500 0.500 1
Pb1 Pb 0.000 0.000 0.500 1
F1 F 0.000 0.500 0.000 1
```


No. 7
VASP calculation (PBE) on a relaxed structure of ScSeS.

Its energy relative to the elements, uncorrected is -4.35 eV per formula unit. As for the relative energy among the computed polymorphs: 28 meV/atom.

```
data_ScSeS
_chemical_formula_sum 'Sc2 Se2 S2'
_space_group_name_H-M_alt 'P 1 21 1'
_space_group_IT_number 4
_space_group_name_Hall 'P 2yb'
_cell_length_a 3.875
_cell_length_b 5.038
_cell_length_c 6.640
_cell_angle_alpha 90.00
_cell_angle_beta 103.03
_cell_angle_gamma 90.00
loop_
_atom_site_label
_atom_site_type_symbol
_atom_site_fract_x
_atom_site_fract_y
_atom_site_fract_z
_atom_site_occupancy
Sc1 Sc 0.206 0.000 0.315 1
Se1 Se 0.422 0.294 0.979 1
S1 S 0.205 0.499 0.430 1
```


No. 8
VASP calculation (PBE) on a relaxed structure of CsAg2HgCl6.

Its energy relative to the elements, uncorrected is -7.77 eV per formula unit.

```
data_CsAg2HgCl6
_chemical_formula_sum 'Cs4 Ag8 Hg4 Cl24'
_space_group_name_H-M_alt 'C 1 2/c 1'
_space_group_IT_number 15
_space_group_name_Hall '-C 2yc'
_cell_length_a 11.672
_cell_length_b 15.412
_cell_length_c 9.076
_cell_angle_alpha 90.00
_cell_angle_beta 118.49
_cell_angle_gamma 90.00
loop_
_atom_site_label
_atom_site_type_symbol
_atom_site_fract_x
_atom_site_fract_y
_atom_site_fract_z
_atom_site_occupancy
Cs1 Cs 0.000 0.107 0.250 1
Ag1 Ag 0.125 0.432 0.169 1
Hg1 Hg 0.000 0.219 0.750 1
Cl1 Cl 0.105 0.258 0.042 1
Cl2 Cl 0.119 0.446 0.459 1
Cl3 Cl 0.136 0.085 0.693 1
```


no.,calculated density (g cm⁻³)
1,9.9
2,15.0
3,8.2
4,6.4
5,3.3
6,6.2
7,4.1
8,3.5